Entry 1:
Crystalline La3Dy2Tm2 at its relaxed geometry. Source: Alexandria, functional PBE.

SG	C2/m (12)
theoretical density	7.624	g/cm³
DFT total energy	-32.1	eV for the cell shown
energy relative to the elements	0.12	eV per atom
energy above the most stable polymorph in this dataset	0.0878	eV per atom

Unit cell a=9.0408 b=9.0408 c=8.5939 alpha=117.91 beta=117.91 gamma=22.39
Positions (direct):
1 La 0.0000 0.0000 0.0000
2 La 0.2141 0.2141 0.2932
3 La 0.7859 0.7859 0.7068
4 Dy 0.4353 0.4353 0.5883
5 Dy 0.5647 0.5647 0.4117
6 Tm 0.1403 0.1403 0.8197
7 Tm 0.8597 0.8597 0.1803

Entry 2:
Crystalline La8Dy5Tm at its relaxed geometry. Source: Alexandria, functional PBE.

SG	P1 (1)
theoretical density	7.045	g/cm³
DFT total energy	-64.7	eV for the cell shown
energy relative to the elements	0.16	eV per atom

Unit cell a=8.6743 b=8.6749 c=8.7115 alpha=114.35 beta=115.62 gamma=98.71
Positions (direct):
1 La 0.0000 0.0000 0.0000
2 La 0.0008 0.3227 0.4395
3 La 0.1176 0.6550 0.9616
4 La 0.2579 0.0446 0.4901
5 La 0.3911 0.8159 0.7718
6 La 0.4446 0.4448 0.0102
7 La 0.5609 0.8831 0.4490
8 La 0.6071 0.5098 0.6819
9 Dy 0.2250 0.4766 0.2639
10 Dy 0.5136 0.1721 0.2307
11 Dy 0.7469 0.2791 0.9705
12 Dy 0.7772 0.8482 0.1876
13 Dy 0.8720 0.6639 0.4815
14 Tm 0.9955 0.1638 0.7224

Entry 3:
Crystalline La2Dy12Tm at its relaxed geometry. Source: Alexandria, functional PBE.

SG	Cmme (67)
theoretical density	7.965	g/cm³
DFT total energy	-134.3	eV for the cell shown
energy relative to the elements	0.16	eV per atom

Unit cell a=6.6925 b=6.6925 c=24.8032 alpha=90.00 beta=90.00 gamma=115.90
Positions (direct):
1 La 0.2500 0.7500 0.2328
2 La 0.2500 0.7500 0.7674
3 La 0.7500 0.2500 0.2326
4 La 0.7500 0.2500 0.7672
5 Dy 0.0000 0.0000 0.4239
6 Dy 0.0000 0.0000 0.5761
7 Dy 0.0005 0.5005 0.0845
8 Dy 0.0000 0.5000 0.3765
9 Dy 0.0000 0.5000 0.6235
10 Dy 0.9995 0.4995 0.9155
11 Dy 0.0005 0.9995 0.9378
12 Dy 0.2500 0.2500 0.1729
13 Dy 0.2500 0.2500 0.3031
14 Dy 0.2500 0.2500 0.6969
15 Dy 0.2500 0.2500 0.8271
16 Dy 0.4995 0.5005 0.9378
17 Dy 0.4995 0.9995 0.0845
18 Dy 0.5000 0.0000 0.3765
19 Dy 0.5000 0.0000 0.6235
20 Dy 0.5005 0.0005 0.9155
21 Dy 0.5000 0.5000 0.4239
22 Dy 0.5000 0.5000 0.5761
23 Dy 0.5005 0.4995 0.0622
24 Dy 0.7500 0.7500 0.1729
25 Dy 0.7500 0.7500 0.3031
26 Dy 0.7500 0.7500 0.6969
27 Dy 0.7500 0.7500 0.8271
28 Dy 0.9995 0.0005 0.0622
29 Tm 0.2500 0.7500 0.5000
30 Tm 0.7500 0.2500 0.5000

Entry 4:
Crystalline La12DyTm3 at its relaxed geometry. Source: Alexandria, functional PBE.

SG	P4/mmm (123)
theoretical density	6.933	g/cm³
DFT total energy	-77.0	eV for the cell shown
energy relative to the elements	0.01	eV per atom

Unit cell a=5.1912 b=5.1912 c=20.7632 alpha=90.00 beta=90.00 gamma=90.00
Positions (direct):
1 La 0.0000 0.0000 0.0000
2 La 0.0000 0.0000 0.2502
3 La 0.0000 0.0000 0.5000
4 La 0.0000 0.0000 0.7498
5 La 0.0000 0.5000 0.1254
6 La 0.0000 0.5000 0.3751
7 La 0.0000 0.5000 0.6249
8 La 0.0000 0.5000 0.8746
9 La 0.5000 0.0000 0.1254
10 La 0.5000 0.0000 0.3751
11 La 0.5000 0.0000 0.6249
12 La 0.5000 0.0000 0.8746
13 Dy 0.5000 0.5000 0.0000
14 Tm 0.5000 0.5000 0.2504
15 Tm 0.5000 0.5000 0.5000
16 Tm 0.5000 0.5000 0.7496